{
  "formula": "CrI2",
  "functional": "PBE-GGA",
  "state": "optimized geometry",
  "e_tot_ev_per_atom": -4.528,
  "lattice": [[1.973, -3.922, 0.000], [1.973, 3.922, 0.000], [0.000, 0.000, 14.929]],
  "species": ["Cr", "Cr", "I", "I", "I", "I"],
  "fractional_positions": [[0.196, 0.804, 0.500], [0.804, 0.196, 0.000], [0.181, 0.819, 0.890], [0.432, 0.568, 0.109], [0.568, 0.432, 0.609], [0.819, 0.181, 0.390]]
}